[1]
Below is a relaxed SmTm3Os crystal, with properties calculated at the GGA-PBE level.

Calculated values
ΔE_f = -28.9 meV/atom
relative energy among the computed polymorphs = 129 meV per atom
calculated volume = 30.92 A^3/atom
magnetization = 0.0 μB per formula unit

a b c (Å): 5.3670 5.3670 5.3670
angles (deg): 90.00 90.00 90.00
Closest atoms and distances in Å follow each position.
Fractional coordinates of all 5 atoms:
Sm: 0.0000 0.0000 0.0000  12 Tm 3.80
Tm: 0.0000 0.5000 0.5000  2 Os 2.68
Tm: 0.5000 0.0000 0.5000  2 Os 2.68
Tm: 0.5000 0.5000 0.0000  2 Os 2.68
Os: 0.5000 0.5000 0.5000  6 Tm 2.68

---

[2]
Below is a relaxed SmTm2Os crystal, with properties calculated at the GGA-PBE level.

Calculated values
ΔE_f = -187.2 meV/atom
relative energy among the computed polymorphs = 71 meV per atom
calculated volume = 26.07 A^3/atom
magnetization = 0.0 μB per formula unit

a b c (Å): 3.3837 3.3837 9.1085
angles (deg): 90.00 90.00 90.00
Closest atoms and distances in Å follow each position.
Fractional coordinates of all 4 atoms:
Sm: 0.0000 0.0000 0.0000  4 Sm 3.38, 8 Tm 3.78
Tm: 0.5000 0.5000 0.3218  4 Os 2.89
Tm: 0.5000 0.5000 0.6782  4 Os 2.89
Os: 0.0000 0.0000 0.5000  8 Tm 2.89

---

[3]
Below is a relaxed SmTmZnOs crystal, with properties calculated at the GGA-PBE level.

Calculated values
ΔE_f = -239.4 meV/atom
calculated volume = 21.17 A^3/atom
magnetization = 0.0 μB per formula unit

a b c (Å): 4.9292 4.9292 4.9292
angles (deg): 60.00 60.00 60.00
Closest atoms and distances in Å follow each position.
Fractional coordinates of all 4 atoms:
Sm: 0.0000 0.0000 0.0000  4 Os 3.02, 4 Zn 3.02
Tm: 0.5000 0.5000 0.5000  4 Os 3.02, 4 Zn 3.02
Zn: 0.2500 0.2500 0.2500  4 Tm 3.02, 4 Sm 3.02
Os: 0.7500 0.7500 0.7500  4 Tm 3.02, 4 Sm 3.02

---

[4]
Below is a relaxed SmUOs2 crystal, with properties calculated at the GGA-PBE level.

Calculated values
ΔE_f = -80.9 meV/atom
calculated volume = 20.99 A^3/atom
magnetization = 0.0 μB per formula unit

a b c (Å): 6.5226 4.9797 10.3392
angles (deg): 90.00 90.00 90.00
Closest atoms and distances in Å follow each position.
Fractional coordinates of all 16 atoms:
Sm: 0.1937 0.2500 0.1603  7 Os 3.09-3.24, 3 U 3.34-3.44
Sm: 0.3063 0.7500 0.6603  7 Os 3.09-3.24, 3 U 3.34-3.44
Sm: 0.6937 0.2500 0.3397  7 Os 3.09-3.24, 3 U 3.34-3.44
Sm: 0.8063 0.7500 0.8397  7 Os 3.09-3.24, 3 U 3.34-3.44
U: 0.0293 0.7500 0.3775  3 Os 2.40-2.59
U: 0.4707 0.2500 0.8775  3 Os 2.40-2.59
U: 0.5293 0.7500 0.1225  3 Os 2.40-2.59
U: 0.9707 0.2500 0.6225  3 Os 2.40-2.59
Os: 0.0852 0.2500 0.8628  2 U 2.52-2.59
Os: 0.2412 0.2500 0.4646  1 U 2.40
Os: 0.2588 0.7500 0.9646  1 U 2.40
Os: 0.4148 0.7500 0.3628  2 U 2.52-2.59
Os: 0.5852 0.2500 0.6372  2 U 2.52-2.59
Os: 0.7412 0.2500 0.0354  1 U 2.40
Os: 0.7588 0.7500 0.5354  1 U 2.40
Os: 0.9148 0.7500 0.1372  2 U 2.52-2.59

---

[5]
Below is a relaxed Sm2UOs2 crystal, with properties calculated at the GGA-PBE level.

Calculated values
ΔE_f = -171.8 meV/atom
calculated volume = 23.37 A^3/atom
magnetization = 1.1 μB per formula unit

a b c (Å): 5.7862 5.7862 8.0247
angles (deg): 98.66 98.66 62.10
Closest atoms and distances in Å follow each position.
Fractional coordinates of all 10 atoms:
Sm: 0.0191 0.2787 0.1501  6 Os 3.12-3.24, 3 U 3.43-3.49
Sm: 0.2787 0.0191 0.6501  6 Os 3.12-3.24, 3 U 3.43-3.49
Sm: 0.7213 0.9809 0.3499  6 Os 3.12-3.24, 3 U 3.43-3.49
Sm: 0.9809 0.7213 0.8499  6 Os 3.12-3.24, 3 U 3.43-3.49
U: 0.3686 0.6314 0.2500  4 Os 2.52-2.72
U: 0.6314 0.3686 0.7500  4 Os 2.52-2.72
Os: 0.2398 0.4992 0.4928  2 U 2.52-2.72, 1 Os 2.79
Os: 0.4992 0.2398 0.9928  2 U 2.52-2.72, 1 Os 2.79
Os: 0.5008 0.7602 0.0072  2 U 2.52-2.72, 1 Os 2.79
Os: 0.7602 0.5008 0.5072  2 U 2.52-2.72, 1 Os 2.79

---

[6]
Below is a relaxed SmUOs4 crystal, with properties calculated at the GGA-PBE level.

Calculated values
ΔE_f = -95.5 meV/atom
calculated volume = 18.22 A^3/atom
magnetization = 1.5 μB per formula unit

a b c (Å): 5.3675 5.3675 5.3675
angles (deg): 60.00 60.00 60.00
Closest atoms and distances in Å follow each position.
Fractional coordinates of all 6 atoms:
Sm: 0.0000 0.0000 0.0000  12 Os 3.15, 4 U 3.29
U: 0.7500 0.7500 0.7500  12 Os 3.15, 4 Sm 3.29
Os: 0.3751 0.3751 0.3751  6 Os 2.68-2.69
Os: 0.3751 0.3751 0.8747  6 Os 2.68-2.69
Os: 0.3751 0.8747 0.3751  6 Os 2.68-2.69
Os: 0.8747 0.3751 0.3751  6 Os 2.68-2.69

---

[7]
Below is a relaxed Sm3U2Os4 crystal, with properties calculated at the GGA-PBE level.

Calculated values
ΔE_f = -159.9 meV/atom
calculated volume = 23.13 A^3/atom
magnetization = 0.5 μB per formula unit

a b c (Å): 5.9673 5.9673 8.8810
angles (deg): 101.92 101.92 42.47
Closest atoms and distances in Å follow each position.
Fractional coordinates of all 9 atoms:
Sm: 0.0000 0.0000 0.0000  8 Os 3.24-3.58
Sm: 0.3724 0.3724 0.6179  6 Os 2.99-3.26, 1 U 3.33
Sm: 0.6276 0.6276 0.3821  6 Os 2.99-3.26, 1 U 3.33
U: 0.3272 0.3272 0.2241  5 Os 2.60-2.73
U: 0.6728 0.6728 0.7759  5 Os 2.60-2.73
Os: 0.0817 0.0817 0.6322  2 U 2.60, 2 Os 2.63-2.90
Os: 0.2782 0.2782 0.9086  3 U 2.61-2.73, 3 Os 2.86-2.90
Os: 0.7218 0.7218 0.0914  3 U 2.61-2.73, 3 Os 2.86-2.90
Os: 0.9183 0.9183 0.3678  2 U 2.60, 2 Os 2.63-2.90

---

[8]
Below is a relaxed SmUOs2 crystal, with properties calculated at the GGA-PBE level.

Calculated values
ΔE_f = -72.4 meV/atom
calculated volume = 20.62 A^3/atom
magnetization = 0.0 μB per formula unit

a b c (Å): 3.4027 3.4027 7.1251
angles (deg): 90.00 90.00 90.00
Closest atoms and distances in Å follow each position.
Fractional coordinates of all 4 atoms:
Sm: 0.0000 0.0000 0.0000  8 Os 3.19, 4 Sm 3.40, 2 U 3.56
U: 0.0000 0.0000 0.5000  8 Os 2.82
Os: 0.5000 0.5000 0.2946  4 U 2.82, 1 Os 2.93
Os: 0.5000 0.5000 0.7054  4 U 2.82, 1 Os 2.93

---

[9]
Below is a relaxed SmU2Os9 crystal, with properties calculated at the GGA-PBE level.

Calculated values
ΔE_f = 20.6 meV/atom
calculated volume = 17.69 A^3/atom
magnetization = 3.0 μB per formula unit

a b c (Å): 9.4102 9.4102 9.4102
angles (deg): 32.36 32.36 32.36
Closest atoms and distances in Å follow each position.
Fractional coordinates of all 12 atoms:
Sm: 0.0000 0.0000 0.0000  6 Os 3.03
U: 0.1411 0.1411 0.1411  12 Os 3.05-3.28, 3 U 3.32
U: 0.8589 0.8589 0.8589  12 Os 3.05-3.28, 3 U 3.32
Os: 0.0783 0.5851 0.5851  7 Os 2.59-2.74
Os: 0.3363 0.3363 0.3363  6 Os 2.63-2.74
Os: 0.4149 0.4149 0.9217  7 Os 2.59-2.74
Os: 0.4149 0.9217 0.4149  7 Os 2.59-2.74
Os: 0.5000 0.5000 0.5000  6 Os 2.72
Os: 0.5851 0.0783 0.5851  7 Os 2.59-2.74
Os: 0.5851 0.5851 0.0783  7 Os 2.59-2.74
Os: 0.6637 0.6637 0.6637  6 Os 2.63-2.74
Os: 0.9217 0.4149 0.4149  7 Os 2.59-2.74

---

[10]
Below is a relaxed Sm2OsW crystal, with properties calculated at the GGA-PBE level.

Calculated values
ΔE_f = 1008.4 meV/atom
calculated volume = 21.95 A^3/atom
magnetization = 0.5 μB per formula unit

a b c (Å): 10.5478 10.5478 10.5478
angles (deg): 17.03 17.03 17.03
Closest atoms and distances in Å follow each position.
Fractional coordinates of all 4 atoms:
Sm: 0.0941 0.0941 0.0941  3 Os 2.89, 1 W 2.94, 6 Sm 3.12
Sm: 0.9059 0.9059 0.9059  3 Os 2.89, 1 W 2.94, 6 Sm 3.12
Os: 0.5000 0.5000 0.5000  6 Sm 2.89, 6 Os 3.12
W: 0.0000 0.0000 0.0000  2 Sm 2.94, 6 W 3.12

---

[11]
Below is a relaxed SmYOs crystal, with properties calculated at the GGA-PBE level.

Calculated values
ΔE_f = -131.7 meV/atom
relative energy among the computed polymorphs = 18 meV per atom
calculated volume = 26.58 A^3/atom
magnetization = 0.0 μB per formula unit

a b c (Å): 4.8315 4.8315 4.8315
angles (deg): 60.00 60.00 60.00
Closest atoms and distances in Å follow each position.
Fractional coordinates of all 3 atoms:
Sm: 0.0000 0.0000 0.0000  4 Os 2.96
Y: 0.5000 0.5000 0.5000  4 Os 2.96
Os: 0.7500 0.7500 0.7500  4 Y 2.96, 4 Sm 2.96

---

[12]
Below is a relaxed SmY2Os crystal, with properties calculated at the GGA-PBE level.

Calculated values
ΔE_f = -99.2 meV/atom
relative energy among the computed polymorphs = 110 meV per atom
calculated volume = 27.23 A^3/atom
magnetization = 0.0 μB per formula unit

a b c (Å): 3.4262 3.4262 9.2785
angles (deg): 90.00 90.00 90.00
Closest atoms and distances in Å follow each position.
Fractional coordinates of all 4 atoms:
Sm: 0.0000 0.0000 0.0000  4 Sm 3.43
Y: 0.5000 0.5000 0.3212  4 Os 2.94
Y: 0.5000 0.5000 0.6788  4 Os 2.94
Os: 0.0000 0.0000 0.5000  8 Y 2.94